Entry 1:
Co3Si | GGA-PBE | optimized geometry

Lattice parameters (Å, degrees): 4.861 4.861 3.689 90.00 90.00 99.61
Element x y z (fractional)
Co  0.102  0.898  0.750
Co  0.163  0.400  0.750
Co  0.400  0.163  0.250
Co  0.600  0.837  0.750
Co  0.837  0.600  0.250
Co  0.898  0.102  0.250
Si  0.334  0.666  0.250
Si  0.666  0.334  0.750

Calculated total energy   -7.02 eV/atom

Entry 2:
Co3Si | GGA-PBE | optimized geometry

Lattice parameters (Å, degrees): 2.605 2.605 7.575 90.00 90.00 120.00
Element x y z (fractional)
Co  0.000  0.000  0.000
Co  0.333  0.667  0.261
Co  0.333  0.667  0.739
Si  0.000  0.000  0.500

Calculated total energy   -6.78 eV/atom

Entry 3:
CoSi2 | GGA-PBE | optimized geometry

Lattice parameters (Å, degrees): 4.739 4.739 4.739 60.00 60.00 60.00
Element x y z (fractional)
Co  0.125  0.125  0.125
Co  0.875  0.875  0.875
Si  0.000  0.500  0.500
Si  0.500  0.000  0.500
Si  0.500  0.500  0.000
Si  0.500  0.500  0.500

Calculated total energy   -5.47 eV/atom

Formation energy (no corrections), record by record: -1.33; -0.40; 1.56 eV per formula unit